[1]
## BaGa2O4 (PBE)

Data for a geometry-optimized BaGa2O4 structure.

Computed properties:
ΔE to the lowest computed polymorph	0.0	meV per atom
symmetry	P6_3, No. 173
formation energy without anion corrections	-15.50	eV per formula unit

a = 8.925 Å, b = 10.866 Å, c = 10.866 Å
α = 120.00°, β = 90.00°, γ = 90.00°
Element x y z (fractional)
1 O 0.587 0.999 0.684
2 Ba 0.278 0.020 0.512
3 O 0.990 0.174 0.168
4 O 0.030 0.668 0.170
5 Ba 0.778 0.512 0.492
6 O 0.990 0.994 0.826
7 Ga 0.472 0.324 0.175
8 Ba 0.778 0.980 0.488
9 O 0.779 0.697 0.772
10 Ga 0.587 0.671 0.823
11 O 0.087 0.315 0.999
12 Ga 0.087 0.329 0.177
13 O 0.087 0.001 0.316
14 O 0.587 0.685 0.001
15 Ba 0.278 0.492 0.980
16 Ga 0.587 0.152 0.329
17 O 0.530 0.332 0.830
18 O 0.530 0.498 0.668
19 O 0.995 0.321 0.496
20 O 0.030 0.830 0.498
21 Ga 0.972 0.175 0.850
22 Ga 0.972 0.150 0.324
23 O 0.995 0.504 0.826
24 Ga 0.553 0.667 0.333
25 O 0.990 0.832 0.006
26 Ba 0.778 0.508 0.020
27 Ga 0.472 0.850 0.676
28 Ba 0.761 0.000 0.000
29 O 0.495 0.826 0.321
30 O 0.779 0.075 0.303
31 Ba 0.278 0.488 0.508
32 O 0.995 0.174 0.679
33 Ga 0.587 0.177 0.848
34 O 0.087 0.684 0.685
35 O 0.495 0.496 0.174
36 O 0.264 0.333 0.667
37 Ga 0.053 0.333 0.667
38 Ga 0.972 0.676 0.825
39 Ga 0.477 0.333 0.667
40 Ga 0.977 0.667 0.333
41 Ga 0.472 0.825 0.150
42 O 0.490 0.168 0.994
43 O 0.490 0.006 0.174
44 O 0.587 0.316 0.315
45 Ba 0.261 0.000 0.000
46 O 0.495 0.679 0.504
47 O 0.779 0.228 0.925
48 O 0.764 0.667 0.333
49 O 0.279 0.772 0.075
50 Ga 0.087 0.823 0.152
51 O 0.490 0.826 0.832
52 O 0.279 0.303 0.228
53 O 0.030 0.502 0.332
54 O 0.530 0.170 0.502
55 Ga 0.087 0.848 0.671
56 O 0.279 0.925 0.697

[2]
## TiCdCoNi (PBE)

Data for a geometry-optimized TiCdCoNi structure.

Computed properties:
symmetry	F-43m, No. 216
energy relative to the elements	-0.11	eV per atom

a = 4.306 Å, b = 4.306 Å, c = 4.306 Å
α = 60.00°, β = 60.00°, γ = 60.00°
Each line ends with the local moment (μB).
Element x y z (fractional)
1 Co 0.000 0.000 0.000  0.78
2 Ni 0.500 0.500 0.500  0.21
3 Cd 0.250 0.250 0.250  -0.01
4 Ti 0.750 0.750 0.750  -0.12

[3]
## PmSnHg2 (PBE)

Data for a geometry-optimized PmSnHg2 structure.

Computed properties:
symmetry	R-3m, No. 166
energy relative to the elements	-0.36	eV per atom

a = 4.843 Å, b = 4.843 Å, c = 5.952 Å
α = 65.99°, β = 65.99°, γ = 60.00°
Element x y z (fractional)
1 Hg 0.259 0.259 0.222
2 Hg 0.741 0.741 0.778
3 Sn 0.000 0.000 0.000
4 Pm 0.500 0.500 0.500

[4]
## Sr2Bi4Rh5 (PBE)

Data for a geometry-optimized Sr2Bi4Rh5 structure.

Computed properties:
symmetry	Fmmm, No. 69
energy relative to the elements	-0.29	eV per atom

a = 6.030 Å, b = 6.180 Å, c = 8.779 Å
α = 80.35°, β = 69.91°, γ = 60.80°
Element x y z (fractional)
1 Rh 0.000 0.500 0.000
2 Bi 0.535 0.676 0.255
3 Rh 0.500 0.500 0.000
4 Rh 0.500 0.000 0.000
5 Sr 0.880 0.000 0.240
6 Rh 0.250 0.500 0.500
7 Bi 0.465 0.324 0.745
8 Sr 0.120 0.000 0.760
9 Bi 0.789 0.676 0.745
10 Rh 0.750 0.500 0.500
11 Bi 0.211 0.324 0.255

[5]
## Ac8OsN2 (PBE)

Data for a geometry-optimized Ac8OsN2 structure.

Computed properties:
symmetry	C2/m, No. 12
formation energy without anion corrections	-4.02	eV per formula unit

a = 6.878 Å, b = 8.391 Å, c = 8.391 Å
α = 62.44°, β = 87.43°, γ = 87.43°
Element x y z (fractional)
1 Ac 0.257 0.344 0.344
2 N 0.630 0.813 0.813
3 Ac 0.246 0.877 0.315
4 Ac 0.754 0.123 0.685
5 Ac 0.264 0.827 0.827
6 Ac 0.754 0.685 0.123
7 Ac 0.743 0.656 0.656
8 Ac 0.736 0.173 0.173
9 N 0.370 0.187 0.187
10 Os 0.000 0.000 0.000
11 Ac 0.246 0.315 0.877

[6]
## Na2CuF (PBE)

Data for a geometry-optimized Na2CuF structure.

Computed properties:
ΔE to the lowest computed polymorph	0.0	meV per atom
symmetry	I-42d, No. 122
formation energy without anion corrections	-3.93	eV per formula unit

a = 6.620 Å, b = 6.620 Å, c = 6.097 Å
α = 57.12°, β = 57.12°, γ = 90.00°
Element x y z (fractional)
1 F 0.500 0.500 0.000
2 Na 0.875 0.784 0.750
3 Na 0.216 0.625 0.250
4 Cu 0.750 0.250 0.500
5 Na 0.375 0.466 0.750
6 Cu 0.000 0.000 0.000
7 Na 0.534 0.125 0.250
8 F 0.250 0.750 0.500

[7]
## Tb2DyNpO8 (PBE)

Data for a geometry-optimized Tb2DyNpO8 structure.

Computed properties:
symmetry	P2/m, No. 10
formation energy without anion corrections	-38.41	eV per formula unit

a = 3.862 Å, b = 5.401 Å, c = 7.447 Å
α = 90.00°, β = 90.00°, γ = 93.52°
Element x y z (fractional)
1 O 0.500 0.251 0.500
2 O 0.500 0.749 0.500
3 Tb 0.500 0.500 0.741
4 O 0.024 0.764 0.223
5 O 0.461 0.225 0.000
6 Np 0.000 0.000 0.000
7 O 0.976 0.236 0.777
8 O 0.025 0.764 0.777
9 O 0.539 0.775 0.000
10 Tb 0.500 0.500 0.259
11 O 0.975 0.236 0.223
12 Dy 0.000 0.000 0.500

[8]
## AcSb2H (PBE)

Data for a geometry-optimized AcSb2H structure.

Computed properties:
ΔE to the lowest computed polymorph	0.0	meV per atom
symmetry	P4/mmm, No. 123

a = 5.702 Å, b = 4.226 Å, c = 4.226 Å
α = 90.00°, β = 90.00°, γ = 90.00°
Element x y z (fractional)
1 Ac 0.500 0.000 0.000
2 Sb 0.000 0.500 0.000
3 H 0.500 0.500 0.500
4 Sb 0.000 0.000 0.500

Electronic total energy
In order: -0.4548; -0.4067; -0.1986; -0.3934; -0.4328; -0.2304; -0.6424; -0.3211
Unit: Ry/atom